a | Computed, not measured: a PBEsol-optimized structure of Sc3PdRu at the SCAN level of DFT.

a b c (Å): 4.8335 4.8335 4.8335
angles (deg): 90.00 90.00 90.00
Space group Pm-3m (No. 221)
Inequivalent atoms, fractional coordinates:
Sc (0.0000, 0.0000, 0.5000) x3
Pd (0.5000, 0.5000, 0.5000) x1
Ru (0.0000, 0.0000, 0.0000) x1

Calculated values
Total magnetization ... 0.0 Bohr magnetons per cell
Theoretical density ... 5.034 g/cm³



b | Computed, not measured: a PBEsol-optimized structure of Sc3PdRu at the SCAN level of DFT.

a b c (Å): 4.8348 4.8348 4.8348
angles (deg): 90.00 90.00 90.00
Space group Pm-3m (No. 221)
Inequivalent atoms, fractional coordinates:
Sc (0.0000, 0.0000, 0.5000) x3
Pd (0.0000, 0.0000, 0.0000) x1
Ru (0.5000, 0.5000, 0.5000) x1

Calculated values
Total magnetization ... 0.0 Bohr magnetons per cell
Theoretical density ... 5.030 g/cm³



Which of them is the least stable? Correct choice: b.